! PBE NpTcB2, optimized geometry; values from VASP
! - polymorph energy (0 for the lowest one) (meV/atom) = 356
! - theoretical density (g/cm3) = 11.6
! - space-group type = R-3m
! - density of states at the Fermi level (states/eV per atom) = 0.835
! - calculated total energy (eV per atom) = -9.1636
&SYSTEM
  ibrav = 0, nat = 4, ntyp = 3
/
ATOMIC_SPECIES
Np 237.00 Np.upf
B 10.81 B.upf
Tc 98.00 Tc.upf
CELL_PARAMETERS angstrom
-2.143 0.674 -2.211
-2.927 -1.144 0.241
-3.328 4.680 2.405
ATOMIC_POSITIONS crystal
Np 0.500 0.500 0.500
B 0.736 0.736 0.792
B 0.264 0.264 0.208
Tc 0.000 0.000 0.000